Density functional theory data (GGA-PBE) for a relaxed structure of Pr2Ho2CBr2Cl3.

Cell lengths 17.4829, 3.7750, 7.9484 Å; angles 90.00, 103.08, 90.00 degrees
Closest atoms and distances in Å follow each position.
Space group C2/m (No. 12)
One atom of each set of equivalent atoms:
Pr 0.1490 0.0000 0.0767 [4 per cell]  1 C 2.54
Ho 0.0018 0.5000 0.7930 [4 per cell]  2 C 2.51, 1 Cl 2.79
C 0.0000 0.0000 0.0000 [2 per cell]  4 Ho 2.51, 2 Pr 2.54
Br 0.1614 0.5000 0.3670 [4 per cell]  1 Ho 2.85, 2 Pr 2.95
Cl 0.0000 0.0000 0.5000 [2 per cell]  4 Ho 2.99
Cl 0.1634 0.5000 0.8120 [4 per cell]  1 Ho 2.79, 2 Pr 2.88

distance to the lowest polymorph of the same formula = 11 meV/atom
density = 5.8 g/cm3
total moment = 0.055 μB/f.u.
E = -5.2481 eV per atom

Density functional theory data (GGA-PBE) for a relaxed structure of Ho2Sc2CBr3Cl2.

Cell lengths 17.1781, 3.6691, 7.6784 Å; angles 90.00, 103.25, 90.00 degrees
Closest atoms and distances in Å follow each position.
Space group C2/m (No. 12)
One atom of each set of equivalent atoms:
Ho 0.1400 0.0000 0.0773 [4 per cell]  1 C 2.34
Sc 0.0003 0.5000 0.1946 [4 per cell]  2 C 2.37, 1 Cl 2.64
C 0.0000 0.0000 0.0000 [2 per cell]  2 Ho 2.34, 4 Sc 2.37
Br 0.0000 0.0000 0.5000 [2 per cell]  4 Sc 2.98
Br 0.1678 0.5000 0.8141 [4 per cell]  2 Ho 2.85, 1 Sc 2.87
Cl 0.1557 0.5000 0.3363 [4 per cell]  1 Sc 2.64, 2 Ho 2.67

distance to the lowest polymorph of the same formula = 25 meV/atom
density = 5.2 g/cm3
total moment = 0.045 μB/f.u.
E = -5.4781 eV per atom

Density functional theory data (GGA-PBE) for a relaxed structure of Ho2Sc2CBr3Cl2.

Cell lengths 16.8928, 3.6762, 7.7347 Å; angles 90.00, 103.19, 90.00 degrees
Closest atoms and distances in Å follow each position.
Space group C2/m (No. 12)
One atom of each set of equivalent atoms:
Ho 0.1420 0.0000 0.0712 [4 per cell]  1 C 2.34
Sc 0.0008 0.5000 0.8068 [4 per cell]  2 C 2.37
C 0.0000 0.0000 0.0000 [2 per cell]  2 Ho 2.34, 4 Sc 2.37
Br 0.0000 0.0000 0.5000 [2 per cell]  4 Sc 3.00
Br 0.1643 0.5000 0.3501 [4 per cell]  1 Sc 2.78, 2 Ho 2.79
Cl 0.1663 0.5000 0.8307 [4 per cell]  2 Ho 2.71, 1 Sc 2.76

distance to the lowest polymorph of the same formula = 33 meV/atom
density = 5.3 g/cm3
total moment = 0.034 μB/f.u.
E = -5.4694 eV per atom